# 1
! Tb5Tm12Cd2 | the Alexandria database | PBE | optimized geometry; values from VASP
! Total DFT energy (no corrections): -0.15038 hartree per atom
! Formation energy: 47 meV per atom
&SYSTEM
  ibrav = 0, nat = 19, ntyp = 3
/
ATOMIC_SPECIES
Tb 158.93 Tb.upf
Tm 168.93 Tm.upf
Cd 112.41 Cd.upf
CELL_PARAMETERS angstrom
7.779 -4.576 0.000
7.779 4.576 0.000
-0.111 0.000 8.073
ATOMIC_POSITIONS angstrom
Tb 0.000 0.000 0.000
Tb 3.686 0.000 0.661
Tb 4.690 0.000 4.019
Tb 10.757 0.000 4.054
Tb 11.761 0.000 7.412
Tm 5.373 2.884 2.074
Tm 1.340 0.000 3.175
Tm 5.744 1.790 6.761
Tm 10.074 2.884 5.999
Tm 9.703 1.790 1.312
Tm 6.934 0.000 1.463
Tm 8.513 0.000 6.610
Tm 5.744 -1.790 6.761
Tm 5.373 -2.884 2.074
Tm 9.703 -1.790 1.312
Tm 14.107 0.000 4.898
Tm 10.074 -2.884 5.999
Cd 7.723 1.712 4.036
Cd 7.723 -1.712 4.036


# 2
! TaTl2Cr | the Alexandria database | PBE | optimized geometry; values from VASP
! Total DFT energy (no corrections): -0.21638 hartree per atom
! Formation energy: 664 meV per atom
! Energy above the most stable polymorph in this dataset: 173 meV/atom
&SYSTEM
  ibrav = 0, nat = 12, ntyp = 3
/
ATOMIC_SPECIES
Ta 180.95 Ta.upf
Tl 204.38 Tl.upf
Cr 52.00 Cr.upf
CELL_PARAMETERS angstrom
3.184 0.000 0.000
-1.592 2.758 0.000
0.000 0.000 28.484
ATOMIC_POSITIONS angstrom
Ta 0.000 0.000 0.000
Ta 0.000 1.838 18.990
Ta 1.592 0.919 9.495
Tl 0.000 0.000 7.044
Tl 0.000 0.000 21.440
Tl 0.000 1.838 11.945
Tl 0.000 1.838 26.034
Tl 1.592 0.919 2.450
Tl 1.592 0.919 16.539
Cr 0.000 0.000 14.242
Cr 0.000 1.838 4.747
Cr 1.592 0.919 23.737


# 3
! TlHg2F7 | the Alexandria database | PBE | optimized geometry; values from VASP
! Total DFT energy (no corrections): -0.10549 hartree per atom
! Energy above the most stable polymorph in this dataset: 271 meV/atom
! E_form (uncorrected): -12.64 eV per formula unit
&SYSTEM
  ibrav = 0, nat = 10, ntyp = 3
/
ATOMIC_SPECIES
Tl 204.38 Tl.upf
Hg 200.59 Hg.upf
F 19.00 F.upf
CELL_PARAMETERS angstrom
3.727 -5.448 0.000
3.727 5.448 0.000
0.000 0.000 4.217
ATOMIC_POSITIONS angstrom
Tl 0.000 0.000 0.000
Hg 3.727 2.157 2.109
Hg 3.727 -2.157 2.109
F 1.276 1.350 2.109
F 3.727 2.272 0.000
F 1.276 -1.350 2.109
F 3.727 0.000 2.109
F 6.179 1.350 2.109
F 3.727 -2.272 0.000
F 6.179 -1.350 2.109